[1]
The following is a DFT calculation (GGA-PBE) of crystalline DyPaAs at its relaxed geometry.

Cell and atoms, written as POSCAR:
```
DyPaAs
1.0
0.000 3.369 3.369
3.369 0.000 3.369
3.369 3.369 0.000
Dy Pa As
1 1 1
Cartesian
0.000 0.000 0.000
1.684 1.684 1.684
5.053 5.053 5.053
```

V ... 76.5 Å³/f.u.
SG ... F-43m, No. 216
Uncorrected energy ... -17.3 eV/f.u.

***

[2]
The following is a DFT calculation (GGA-PBE) of crystalline DyAsPb at its relaxed geometry.

Cell and atoms, written as POSCAR:
```
DyAsPb
1.0
0.000 3.538 3.538
3.538 0.000 3.538
3.538 3.538 0.000
Dy As Pb
1 1 1
Cartesian
0.000 0.000 0.000
5.308 5.308 5.308
1.769 1.769 1.769
```

V ... 88.6 Å³/f.u.
SG ... F-43m, No. 216
Uncorrected energy ... -13.5 eV/f.u.

***

[3]
The following is a DFT calculation (GGA-PBE) of crystalline DyAsPb at its relaxed geometry.

Cell and atoms, written as POSCAR:
```
DyAsPb
1.0
0.000 3.566 3.566
3.566 0.000 3.566
3.566 3.566 0.000
Dy As Pb
1 1 1
Cartesian
0.000 0.000 0.000
3.566 3.566 3.566
5.349 5.349 5.349
```

V ... 90.7 Å³/f.u.
SG ... F-43m, No. 216
Uncorrected energy ... -12.9 eV/f.u.

***

[4]
The following is a DFT calculation (GGA-PBE) of crystalline PrDyAs at its relaxed geometry.

Cell and atoms, written as POSCAR:
```
PrDyAs
1.0
0.000 3.486 3.486
3.486 0.000 3.486
3.486 3.486 0.000
Pr Dy As
1 1 1
Cartesian
0.000 0.000 0.000
3.486 3.486 3.486
5.229 5.229 5.229
```

V ... 84.7 Å³/f.u.
SG ... F-43m, No. 216
Uncorrected energy ... -16.4 eV/f.u.

***

[5]
The following is a DFT calculation (GGA-PBE) of crystalline SmDyAs2Pt2 at its relaxed geometry.

Cell and atoms, written as POSCAR:
```
SmDyAs2Pt2
1.0
4.312 0.000 0.000
-2.156 3.734 0.000
0.000 0.000 15.368
Sm Dy As Pt
2 2 4 4
Cartesian
0.000 0.000 0.000
0.000 0.000 7.684
0.000 0.000 3.842
0.000 0.000 11.526
0.000 2.489 1.816
0.000 2.489 5.868
2.156 1.245 9.500
2.156 1.245 13.552
0.000 2.489 9.833
0.000 2.489 13.219
2.156 1.245 2.149
2.156 1.245 5.535
```

V ... 123.7 Å³/f.u.
SG ... P6_3/mmc, No. 194
Uncorrected energy ... -38.2 eV/f.u.

***

[6]
The following is a DFT calculation (GGA-PBE) of crystalline DyTmAs2Pt2 at its relaxed geometry.

Cell and atoms, written as POSCAR:
```
DyTmAs2Pt2
1.0
4.283 0.000 0.000
-2.141 3.709 0.000
0.000 0.000 15.050
Dy Tm As Pt
2 2 4 4
Cartesian
0.000 0.000 0.000
0.000 0.000 7.525
0.000 0.000 3.763
0.000 0.000 11.288
0.000 2.473 1.737
0.000 2.473 5.788
2.141 1.236 9.263
2.141 1.236 13.313
0.000 2.473 9.640
0.000 2.473 12.936
2.141 1.236 2.115
2.141 1.236 5.410
```

V ... 119.5 Å³/f.u.
SG ... P6_3/mmc, No. 194
Uncorrected energy ... -37.8 eV/f.u.

***

[7]
The following is a DFT calculation (GGA-PBE) of crystalline DyYAs2Pt2 at its relaxed geometry.

Cell and atoms, written as POSCAR:
```
DyYAs2Pt2
1.0
4.298 0.000 0.000
-2.149 3.723 0.000
0.000 0.000 15.234
Dy Y As Pt
2 2 4 4
Cartesian
0.000 0.000 0.000
0.000 0.000 7.617
0.000 0.000 3.808
0.000 0.000 11.425
0.000 2.482 1.762
0.000 2.482 5.855
2.149 1.241 9.379
2.149 1.241 13.471
0.000 2.482 9.675
0.000 2.482 13.175
2.149 1.241 2.058
2.149 1.241 5.558
```

V ... 121.9 Å³/f.u.
SG ... P6_3/mmc, No. 194
Uncorrected energy ... -39.9 eV/f.u.

***

[8]
The following is a DFT calculation (GGA-PBE) of crystalline DyPuAs at its relaxed geometry.

Cell and atoms, written as POSCAR:
```
DyPuAs
1.0
0.000 3.434 3.434
3.434 0.000 3.434
3.434 3.434 0.000
Dy Pu As
1 1 1
Cartesian
0.000 0.000 0.000
3.434 3.434 3.434
1.717 1.717 1.717
```

V ... 81.0 Å³/f.u.
SG ... F-43m, No. 216
Uncorrected energy ... -25.2 eV/f.u.

***

[9]
The following is a DFT calculation (GGA-PBE) of crystalline RbDyAs at its relaxed geometry.

Cell and atoms, written as POSCAR:
```
RbDyAs
1.0
0.000 3.661 3.661
3.661 0.000 3.661
3.661 3.661 0.000
Rb Dy As
1 1 1
Cartesian
0.000 0.000 0.000
3.661 3.661 3.661
5.491 5.491 5.491
```

V ... 98.1 Å³/f.u.
SG ... F-43m, No. 216
Uncorrected energy ... -10.8 eV/f.u.

***

[10]
The following is a DFT calculation (GGA-PBE) of crystalline RbDyAsSe3 at its relaxed geometry.

Cell and atoms, written as POSCAR:
```
RbDyAsSe3
1.0
2.185 -7.579 0.000
2.185 7.579 0.000
0.000 0.000 11.664
Rb Dy As Se
2 2 2 6
Cartesian
2.185 4.156 8.748
2.185 -4.156 2.916
2.185 0.000 0.000
2.185 0.000 5.832
2.185 6.314 2.916
2.185 -6.314 8.748
2.185 5.704 0.252
2.185 5.704 5.581
2.185 0.044 2.916
2.185 -0.044 8.748
2.185 -5.704 6.084
2.185 -5.704 11.413
```

V ... 193.1 Å³/f.u.
SG ... Cmcm, No. 63
Uncorrected energy ... -26.8 eV/f.u.

***

[11]
The following is a DFT calculation (GGA-PBE) of crystalline Dy4AsS3 at its relaxed geometry.

Cell and atoms, written as POSCAR:
```
Dy4AsS3
1.0
5.602 0.000 0.000
0.000 5.602 0.000
0.000 0.000 5.602
Dy As S
4 1 3
Cartesian
0.000 0.000 0.000
0.000 2.801 2.801
2.801 0.000 2.801
2.801 2.801 0.000
2.801 2.801 2.801
0.000 0.000 2.801
0.000 2.801 0.000
2.801 0.000 0.000
```

V ... 175.8 Å³/f.u.
SG ... Pm-3m, No. 221
Uncorrected energy ... -50.6 eV/f.u.

***

[12]
The following is a DFT calculation (GGA-PBE) of crystalline Dy3As2S at its relaxed geometry.

Cell and atoms, written as POSCAR:
```
Dy3As2S
1.0
4.061 0.000 0.000
-2.031 3.517 0.000
0.000 0.000 9.892
Dy As S
3 2 1
Cartesian
0.000 0.000 0.000
0.000 2.345 6.586
2.031 1.172 3.306
0.000 2.345 1.691
2.031 1.172 8.201
0.000 0.000 4.946
```

V ... 141.3 Å³/f.u.
SG ... P-3m1, No. 164
Uncorrected energy ... -37.5 eV/f.u.

***

[13]
The following is a DFT calculation (GGA-PBE) of crystalline DyAsS3 at its relaxed geometry.

Cell and atoms, written as POSCAR:
```
DyAsS3
1.0
7.409 0.000 0.000
0.000 3.871 0.000
0.000 0.000 15.472
Dy As S
4 4 12
Cartesian
1.772 0.968 0.753
1.933 2.903 8.489
5.476 0.968 6.983
5.638 2.903 14.719
1.687 2.903 4.814
2.018 0.968 12.550
5.391 2.903 2.922
5.723 0.968 10.658
0.085 0.968 9.188
0.923 0.968 3.493
1.009 2.903 14.510
2.696 0.968 6.774
2.782 2.903 11.230
3.620 2.903 1.452
3.789 0.968 14.020
4.627 0.968 4.243
4.714 2.903 8.698
6.400 0.968 0.962
6.487 2.903 11.979
7.325 2.903 6.284
```

V ... 111.0 Å³/f.u.
SG ... Pnma, No. 62
Uncorrected energy ... -26.6 eV/f.u.

***

[14]
The following is a DFT calculation (GGA-PBE) of crystalline Dy3As2S at its relaxed geometry.

Cell and atoms, written as POSCAR:
```
Dy3As2S
1.0
-2.030 2.864 6.066
2.030 -2.864 6.066
2.030 2.864 -6.066
Dy As S
3 2 1
Cartesian
0.000 0.000 0.000
0.000 0.000 4.053
0.000 0.000 8.079
2.030 0.000 2.026
0.000 2.864 4.040
0.000 2.864 0.000
```

V ... 141.1 Å³/f.u.
SG ... Immm, No. 71
Uncorrected energy ... -37.6 eV/f.u.

***

[15]
The following is a DFT calculation (GGA-PBE) of crystalline DyAsS at its relaxed geometry.

Cell and atoms, written as POSCAR:
```
DyAsS
1.0
16.989 0.000 0.000
0.000 3.825 0.000
0.000 0.000 3.851
Dy As S
4 4 4
Cartesian
2.481 0.956 0.912
6.014 2.869 2.838
10.975 0.956 1.013
14.509 2.869 2.939
0.017 0.956 2.783
8.477 2.869 0.857
8.512 0.956 2.994
16.972 2.869 1.068
3.175 2.869 2.845
5.319 0.956 0.920
11.670 2.869 2.931
13.814 0.956 1.006
```

V ... 62.6 Å³/f.u.
SG ... Pnma, No. 62
Uncorrected energy ... -18.1 eV/f.u.

***

[16]
The following is a DFT calculation (GGA-PBE) of crystalline Dy3Sb2As at its relaxed geometry.

Cell and atoms, written as POSCAR:
```
Dy3Sb2As
1.0
4.276 0.000 0.000
-2.138 3.703 0.000
0.000 0.000 10.578
Dy Sb As
3 2 1
Cartesian
0.000 0.000 0.000
0.000 2.469 6.895
2.138 1.234 3.683
0.000 2.469 1.830
2.138 1.234 8.748
0.000 0.000 5.289
```

V ... 167.5 Å³/f.u.
SG ... P-3m1, No. 164
Uncorrected energy ... -34.2 eV/f.u.

***

[17]
The following is a DFT calculation (GGA-PBE) of crystalline DyScAs at its relaxed geometry.

Cell and atoms, written as POSCAR:
```
DyScAs
1.0
0.000 3.420 3.420
3.420 0.000 3.420
3.420 3.420 0.000
Dy Sc As
1 1 1
Cartesian
0.000 0.000 0.000
1.710 1.710 1.710
5.129 5.129 5.129
```

V ... 80.0 Å³/f.u.
SG ... F-43m, No. 216
Uncorrected energy ... -15.0 eV/f.u.

***

[18]
The following is a DFT calculation (GGA-PBE) of crystalline DyScAs at its relaxed geometry.

Cell and atoms, written as POSCAR:
```
DyScAs
1.0
0.000 3.294 3.294
3.294 0.000 3.294
3.294 3.294 0.000
Dy Sc As
1 1 1
Cartesian
0.000 0.000 0.000
3.294 3.294 3.294
1.647 1.647 1.647
```

V ... 71.5 Å³/f.u.
SG ... F-43m, No. 216
Uncorrected energy ... -17.8 eV/f.u.

***

[19]
The following is a DFT calculation (GGA-PBE) of crystalline Dy2ScAs3 at its relaxed geometry.

Cell and atoms, written as POSCAR:
```
Dy2ScAs3
1.0
4.035 0.000 0.000
-2.017 3.494 0.000
0.000 0.000 9.857
Dy Sc As
2 1 3
Cartesian
0.000 2.330 3.226
2.017 1.165 6.631
0.000 0.000 0.000
0.000 0.000 4.929
0.000 2.330 8.342
2.017 1.165 1.515
```

V ... 139.0 Å³/f.u.
SG ... P-3m1, No. 164
Uncorrected energy ... -38.3 eV/f.u.

***

[20]
The following is a DFT calculation (GGA-PBE) of crystalline Dy3As2Se at its relaxed geometry.

Cell and atoms, written as POSCAR:
```
Dy3As2Se
1.0
-2.051 2.896 6.148
2.051 -2.896 6.148
2.051 2.896 -6.148
Dy As Se
3 2 1
Cartesian
0.000 0.000 0.000
0.000 0.000 4.026
0.000 0.000 8.270
2.051 0.000 2.031
0.000 2.896 4.117
0.000 2.896 0.000
```

V ... 146.1 Å³/f.u.
SG ... Immm, No. 71
Uncorrected energy ... -36.6 eV/f.u.

***

[21]
The following is a DFT calculation (GGA-PBE) of crystalline Dy3AsSe2 at its relaxed geometry.

Cell and atoms, written as POSCAR:
```
Dy3AsSe2
1.0
-2.037 2.880 6.157
2.037 -2.880 6.157
2.037 2.880 -6.157
Dy As Se
3 1 2
Cartesian
0.000 0.000 0.000
0.000 0.000 4.196
0.000 0.000 8.118
0.000 2.880 0.000
2.037 0.000 2.075
0.000 2.880 4.081
```

V ... 144.5 Å³/f.u.
SG ... Immm, No. 71
Uncorrected energy ... -35.8 eV/f.u.

***

[22]
The following is a DFT calculation (GGA-PBE) of crystalline Dy2AsSe at its relaxed geometry.

Cell and atoms, written as POSCAR:
```
Dy2AsSe
1.0
4.094 0.000 0.000
0.000 5.774 0.000
0.000 0.000 8.211
Dy As Se
4 2 2
Cartesian
1.023 1.444 0.955
1.023 1.444 5.230
3.070 4.331 2.981
3.070 4.331 7.256
1.023 4.331 1.037
3.070 1.444 7.174
1.023 4.331 5.106
3.070 1.444 3.105
```

V ... 97.0 Å³/f.u.
SG ... Pmmn, No. 59
Uncorrected energy ... -24.2 eV/f.u.

***

[23]
The following is a DFT calculation (GGA-PBE) of crystalline Dy3As2Se at its relaxed geometry.

Cell and atoms, written as POSCAR:
```
Dy3As2Se
1.0
4.100 0.000 0.000
-2.050 3.551 0.000
0.000 0.000 10.065
Dy As Se
3 2 1
Cartesian
0.000 0.000 0.000
0.000 2.367 6.817
2.050 1.184 3.248
0.000 2.367 1.682
2.050 1.184 8.383
0.000 0.000 5.032
```

V ... 146.5 Å³/f.u.
SG ... P-3m1, No. 164
Uncorrected energy ... -36.6 eV/f.u.

***

[24]
The following is a DFT calculation (GGA-PBE) of crystalline Dy3AsSe2 at its relaxed geometry.

Cell and atoms, written as POSCAR:
```
Dy3AsSe2
1.0
4.086 0.000 0.000
-2.043 3.539 0.000
0.000 0.000 9.989
Dy As Se
3 1 2
Cartesian
0.000 0.000 0.000
0.000 2.359 6.598
2.043 1.180 3.391
0.000 0.000 4.994
0.000 2.359 1.653
2.043 1.180 8.335
```

V ... 144.4 Å³/f.u.
SG ... P-3m1, No. 164
Uncorrected energy ... -35.7 eV/f.u.

***

[25]
The following is a DFT calculation (GGA-PBE) of crystalline DySiAs at its relaxed geometry.

Cell and atoms, written as POSCAR:
```
DySiAs
1.0
0.000 3.296 3.296
3.296 0.000 3.296
3.296 3.296 0.000
Dy Si As
1 1 1
Cartesian
0.000 0.000 0.000
4.944 4.944 4.944
3.296 3.296 3.296
```

V ... 71.6 Å³/f.u.
SG ... F-43m, No. 216
Uncorrected energy ... -15.1 eV/f.u.

***

[26]
The following is a DFT calculation (GGA-PBE) of crystalline DySiAs at its relaxed geometry.

Cell and atoms, written as POSCAR:
```
DySiAs
1.0
0.000 3.354 3.354
3.354 0.000 3.354
3.354 3.354 0.000
Dy Si As
1 1 1
Cartesian
0.000 0.000 0.000
1.677 1.677 1.677
5.031 5.031 5.031
```

V ... 75.4 Å³/f.u.
SG ... F-43m, No. 216
Uncorrected energy ... -15.0 eV/f.u.